DFT (PBE-GGA) results for a geometry-optimized DyErPu2N4 structure.

```
DyErPu2N4
1.0
-1.067 2.067 -2.580
-1.636 -4.831 -3.193
-4.589 1.828 3.362
Dy Er Pu N
1 1 2 4
direct
0.500 0.500 0.000
0.000 0.000 0.000
0.500 0.000 0.500
0.000 0.500 0.500
0.500 0.250 0.255
0.500 0.750 0.745
0.000 0.246 0.744
0.000 0.754 0.256
```

Output
Crystal system = monoclinic
Raw total energy = -10.382 eV/atom
Formation energy without anion corrections = -1.49 eV/atom
Density of states at the Fermi level = 12.45 states/eV/cell

DFT (PBE-GGA) results for a geometry-optimized HgI structure.

```
HgI
1.0
-3.704 -1.188 5.428
4.059 -1.505 6.183
2.829 6.334 4.697
Hg I
4 4
direct
0.125 0.548 0.210
0.875 0.452 0.790
0.610 0.264 0.797
0.390 0.736 0.203
0.614 0.940 0.260
0.386 0.060 0.740
0.876 0.314 0.256
0.124 0.686 0.744
```

Output
Crystal system = triclinic
Raw total energy = -1.163 eV/atom
Formation energy without anion corrections = -0.24 eV/atom
Energy relative to the lowest polymorph listed for this composition = 5.1 meV per atom
Density of states at the Fermi level = 0.00 states/eV/cell

DFT (PBE-GGA) results for a geometry-optimized KLa2Ta structure.

```
KLa2Ta
1.0
4.838 -0.028 0.003
3.730 3.082 0.003
0.560 0.200 9.998
K La Ta
1 2 1
direct
0.250 0.250 0.250
0.014 0.014 0.920
0.486 0.486 0.580
0.750 0.750 0.750
```

Output
Crystal system = monoclinic
Raw total energy = -5.059 eV/atom
Energy relative to the lowest polymorph listed for this composition = 221.0 meV per atom
Density of states at the Fermi level = 5.35 states/eV/cell

DFT (PBE-GGA) results for a geometry-optimized NbNi2Br structure.

```
NbNi2Br
1.0
-4.133 -1.508 0.570
-3.431 2.232 -1.711
-2.243 -1.677 -3.440
Ni Nb Br
2 1 1
direct
0.250 0.250 0.250
0.750 0.750 0.750
0.500 0.500 0.500
0.000 0.000 0.000
```

Output
Crystal system = cubic
Raw total energy = -5.178 eV/atom
Formation energy without anion corrections = 0.65 eV/atom
Energy relative to the lowest polymorph listed for this composition = 271.6 meV per atom
Density of states at the Fermi level = 2.91 states/eV/cell

DFT (PBE-GGA) results for a geometry-optimized Dy3YTm7 structure.

```
Dy3YTm7
1.0
-3.001 -3.379 7.213
5.079 -4.767 -0.120
1.000 6.074 3.262
Dy Y Tm
3 1 7
direct
0.784 0.500 0.500
0.784 0.500 0.001
0.784 0.999 0.500
0.447 0.333 0.667
0.118 0.167 0.833
0.118 0.167 0.335
0.120 0.667 0.333
0.447 0.832 0.168
0.447 0.336 0.168
0.447 0.832 0.664
0.118 0.665 0.833
```

Output
Crystal system = trigonal
Raw total energy = -4.490 eV/atom
Energy relative to the lowest polymorph listed for this composition = 36.4 meV per atom
Density of states at the Fermi level = 17.74 states/eV/cell

DFT (PBE-GGA) results for a geometry-optimized SrSi2Br structure.

```
SrSi2Br
1.0
-2.922 0.800 -2.644
-2.694 -1.691 2.466
-0.982 5.636 2.792
Br Si Sr
1 2 1
direct
0.000 0.500 0.500
0.000 0.000 0.000
0.500 0.500 0.000
0.500 0.000 0.500
```

Output
Crystal system = tetragonal
Raw total energy = -3.723 eV/atom
Formation energy without anion corrections = -0.17 eV/atom
Energy relative to the lowest polymorph listed for this composition = 479.0 meV per atom
Density of states at the Fermi level = 2.03 states/eV/cell

DFT (PBE-GGA) results for a geometry-optimized Ho2MgCl8 structure.

```
Ho2MgCl8
1.0
6.559 0.094 0.078
0.247 8.288 -0.804
0.247 0.725 8.296
Ho Mg Cl
2 1 8
direct
0.381 0.210 0.210
0.619 0.790 0.790
0.000 0.000 0.000
0.784 0.059 0.759
0.216 0.241 0.941
0.768 0.184 0.184
0.232 0.816 0.816
0.784 0.759 0.059
0.216 0.941 0.241
0.261 0.409 0.409
0.739 0.591 0.591
```

Output
Crystal system = monoclinic
Raw total energy = -4.298 eV/atom
Formation energy without anion corrections = -1.98 eV/atom
Density of states at the Fermi level = 0.00 states/eV/cell

DFT (PBE-GGA) results for a geometry-optimized SrErAgCl6 structure.

```
SrErAgCl6
1.0
7.109 0.000 0.000
-3.554 6.156 0.000
0.000 0.000 11.945
Sr Er Ag Cl
2 2 2 12
direct
0.333 0.667 0.250
0.667 0.333 0.750
0.667 0.333 0.250
0.333 0.667 0.750
0.000 0.000 0.000
0.000 0.000 0.500
0.673 0.643 0.126
0.970 0.327 0.126
0.327 0.970 0.626
0.030 0.673 0.874
0.357 0.327 0.374
0.970 0.643 0.374
0.643 0.970 0.874
0.673 0.030 0.374
0.030 0.357 0.626
0.357 0.030 0.126
0.643 0.673 0.626
0.327 0.357 0.874
```

Output
Crystal system = trigonal
Raw total energy = -4.151 eV/atom
Formation energy without anion corrections = -1.91 eV/atom
Density of states at the Fermi level = 0.00 states/eV/cell

DFT (PBE-GGA) results for a geometry-optimized MgIn4Ni structure.

```
MgIn4Ni
1.0
0.000 4.203 4.203
4.203 0.000 4.203
4.203 4.203 0.000
Mg In Ni
1 4 1
direct
0.750 0.750 0.750
0.876 0.375 0.375
0.375 0.375 0.876
0.375 0.876 0.375
0.375 0.375 0.375
0.000 0.000 0.000
```

Output
Crystal system = cubic
Raw total energy = -2.607 eV/atom
Energy relative to the lowest polymorph listed for this composition = 519.8 meV per atom
Density of states at the Fermi level = 4.45 states/eV/cell

DFT (PBE-GGA) results for a geometry-optimized Al3NiW structure.

```
Al3NiW
1.0
4.818 0.000 0.000
0.000 4.818 0.000
0.000 0.000 4.818
Ni Al W
1 3 1
direct
0.500 0.500 0.500
0.000 0.500 0.000
0.000 0.000 0.500
0.500 0.000 0.000
0.000 0.000 0.000
```

Output
Crystal system = cubic
Raw total energy = -4.862 eV/atom
Energy relative to the lowest polymorph listed for this composition = 540.4 meV per atom
Density of states at the Fermi level = 9.32 states/eV/cell

DFT (PBE-GGA) results for a geometry-optimized Zn6Cu12Pd structure.

```
Zn6Cu12Pd
1.0
6.804 -0.097 -0.136
-1.780 6.568 -0.136
-1.780 -2.293 6.156
Zn Cu Pd
6 12 1
direct
0.698 0.302 0.302
0.302 0.302 0.698
0.302 0.698 0.302
0.698 0.698 0.302
0.302 0.698 0.698
0.698 0.302 0.698
0.888 0.112 0.500
0.894 0.652 0.652
0.652 0.652 0.894
0.348 0.106 0.348
0.348 0.348 0.106
0.106 0.348 0.348
0.112 0.500 0.888
0.500 0.888 0.112
0.112 0.888 0.500
0.888 0.500 0.112
0.500 0.112 0.888
0.652 0.894 0.652
0.000 0.000 0.000
```

Output
Crystal system = trigonal
Raw total energy = -3.116 eV/atom
Density of states at the Fermi level = 7.33 states/eV/cell

DFT (PBE-GGA) results for a geometry-optimized La5CoHg2 structure.

```
La5CoHg2
1.0
-3.028 1.296 -5.192
-3.811 -3.846 4.903
-4.261 10.838 5.189
La Co Hg
10 2 4
direct
0.927 0.853 0.888
0.927 0.853 0.612
0.364 0.728 0.410
0.364 0.728 0.090
0.622 0.245 0.250
0.378 0.755 0.750
0.636 0.272 0.590
0.636 0.272 0.910
0.073 0.147 0.112
0.073 0.147 0.388
0.791 0.582 0.750
0.209 0.418 0.250
0.819 0.638 0.379
0.819 0.638 0.121
0.181 0.362 0.621
0.181 0.362 0.879
```

Output
Crystal system = orthorhombic
Raw total energy = -4.127 eV/atom
Energy relative to the lowest polymorph listed for this composition = 231.9 meV per atom
Density of states at the Fermi level = 23.83 states/eV/cell